Material: RuS2I
Method: DFT, PBE
State: optimized geometry

## Properties
- Total DFT energy (no corrections): -3.7192 eV per atom
- Raw formation energy: 1.051 eV per atom
- Energy above the most stable polymorph in this dataset: 1.143 eV/atom

a = 4.640 Å, b = 4.640 Å, c = 4.640 Å
α = 60.00°, β = 60.00°, γ = 60.00°
Positions (direct):
S: 0.250 0.250 0.250
S: 0.750 0.750 0.750
Ru: 0.000 0.000 0.000
I: 0.500 0.500 0.500

=====

Material: CdP2S2
Method: DFT, PBE
State: optimized geometry

## Properties
- Total DFT energy (no corrections): -3.5050 eV per atom
- Raw formation energy: 0.493 eV per atom
- Energy above the most stable polymorph in this dataset: 0.000 eV/atom

a = 4.567 Å, b = 4.567 Å, c = 4.571 Å
α = 90.00°, β = 90.00°, γ = 90.00°
Positions (direct):
Cd: 0.500 0.500 0.500
S: 0.500 0.000 0.000
S: 0.000 0.500 0.000
P: 0.000 0.000 0.000
P: 0.000 0.000 0.500

=====

Material: CuAg2PbO4
Method: DFT, PBE
State: optimized geometry

## Properties
- Total DFT energy (no corrections): -4.5413 eV per atom
- Raw formation energy: -0.374 eV per atom

a = 5.828 Å, b = 5.830 Å, c = 5.343 Å
α = 123.23°, β = 123.23°, γ = 89.95°
Positions (direct):
O: 0.594 0.488 0.537
O: 0.944 0.049 0.537
O: 0.423 0.879 0.408
O: 0.983 0.528 0.406
Cu: 0.736 0.736 0.473
Ag: 0.235 0.236 0.471
Ag: 0.486 0.986 0.972
Pb: 0.985 0.486 0.972

=====

Material: Ba3Sn2Hg6Sb
Method: DFT, PBE
State: optimized geometry

## Properties
- Total DFT energy (no corrections): -1.9686 eV per atom
- Raw formation energy: -0.326 eV per atom

a = 6.109 Å, b = 6.109 Å, c = 11.968 Å
α = 90.00°, β = 90.00°, γ = 120.00°
Positions (direct):
Sn: 0.667 0.333 0.097
Sn: 0.333 0.667 0.903
Hg: 0.830 0.660 0.749
Hg: 0.170 0.340 0.251
Hg: 0.830 0.170 0.749
Hg: 0.340 0.170 0.749
Hg: 0.170 0.830 0.251
Hg: 0.660 0.830 0.251
Ba: 0.333 0.667 0.593
Ba: 0.667 0.333 0.407
Ba: 0.000 0.000 0.000
Sb: 0.000 0.000 0.500

=====

Material: Rb2PrHoS4
Method: DFT, PBE
State: optimized geometry

## Properties
- Total DFT energy (no corrections): -5.3034 eV per atom
- Raw formation energy: -1.828 eV per atom

a = 4.160 Å, b = 7.209 Å, c = 8.075 Å
α = 107.27°, β = 90.00°, γ = 90.00°
Positions (direct):
Pr: 0.500 0.500 0.000
S: 0.500 0.779 0.807
S: 0.000 0.258 0.803
S: 0.500 0.221 0.193
S: 0.000 0.742 0.197
Rb: 0.000 0.500 0.500
Rb: 0.500 0.000 0.500
Ho: 0.000 0.000 0.000

=====

Material: BePbBr2
Method: DFT, PBE
State: optimized geometry

## Properties
- Total DFT energy (no corrections): -2.9069 eV per atom
- Raw formation energy: -0.212 eV per atom
- Energy above the most stable polymorph in this dataset: 0.214 eV/atom

a = 6.644 Å, b = 6.644 Å, c = 6.369 Å
α = 73.08°, β = 73.08°, γ = 28.55°
Positions (direct):
Pb: 0.750 0.750 0.750
Br: 0.623 0.623 0.402
Br: 0.877 0.877 0.098
Be: 0.250 0.250 0.250